Entry from Alexandria via LeMat-Bulk: a relaxed Rb4MnMo3O12 crystal (PBE+U).

Output
**N(E_F)**: 0.00 states/eV/atom
**SG**: No. 159
**Final energy**: -6.446 eV/atom

Lattice parameters (Å, degrees): 6.232 6.232 24.371 90.00 90.00 120.00
Site moments in Bohr magnetons follow the coordinates.
Sites, in units of the cell vectors:
Rb: 0.667 0.333 0.970  0.00
Rb: 0.667 0.333 0.523  0.00
Rb: 0.333 0.667 0.470  0.00
Rb: 0.333 0.667 0.023  0.00
Rb: 0.333 0.667 0.848  0.00
Rb: 0.333 0.667 0.657  0.00
Rb: 0.667 0.333 0.348  0.00
Rb: 0.667 0.333 0.157  0.00
Mn: 0.000 0.000 0.750  4.59
Mn: 0.000 0.000 0.250  4.59
Mo: 0.000 0.000 0.910  0.03
Mo: 0.000 0.000 0.591  0.03
Mo: 0.000 0.000 0.410  0.03
Mo: 0.000 0.000 0.091  0.03
Mo: 0.667 0.333 0.772  0.09
Mo: 0.333 0.667 0.272  0.09
O: 0.000 0.000 0.835  0.00
O: 0.000 0.000 0.665  0.00
O: 0.000 0.000 0.335  0.00
O: 0.000 0.000 0.165  0.00
O: 0.690 0.869 0.935  0.00
O: 0.131 0.820 0.935  0.00
O: 0.180 0.310 0.935  0.00
O: 0.692 0.790 0.567  0.00
O: 0.210 0.902 0.567  0.00
O: 0.098 0.308 0.567  0.00
O: 0.310 0.180 0.435  0.00
O: 0.869 0.690 0.435  0.00
O: 0.820 0.131 0.435  0.00
O: 0.308 0.098 0.067  0.00
O: 0.790 0.692 0.067  0.00
O: 0.902 0.210 0.067  0.00
O: 0.667 0.333 0.844  0.00
O: 0.333 0.667 0.344  0.00
O: 0.689 0.620 0.748  0.01
O: 0.380 0.068 0.748  0.01
O: 0.932 0.311 0.748  0.01
O: 0.311 0.932 0.248  0.01
O: 0.620 0.689 0.248  0.01
O: 0.068 0.380 0.248  0.01